DFT (PBE) results for an optimized crystal structure of PmZnSiAu.

POSCAR file:
```
PmZnSiAu
1.0
0.0000 3.4396 3.4396
3.4396 0.0000 3.4396
3.4396 3.4396 0.0000
Pm Zn Si Au
1 1 1 1
direct
0.0000 0.0000 0.0000
0.5000 0.5000 0.5000
0.7500 0.7500 0.7500
0.2500 0.2500 0.2500
```

Calculated values
space-group type: No. 216
raw formation energy: -32 kJ/mol of atoms
raw total energy: -16.1 eV for the cell shown
calculated volume: 20.35 Å³/atom